A relaxed structure of HoEr2Si. Source: Alexandria, functional PBE-GGA.

```
HoEr2Si
1.0
-0.085 2.989 1.847
-3.085 1.472 0.820
-1.326 -4.163 10.020
Si Ho Er
1 1 2
Cartesian
-2.248 0.149 6.344
0.000 0.000 0.000
-1.240 -2.369 7.121
-3.255 2.668 5.566
```

Computed properties:
size of the total moment: 0.63 μB/cell
calculated total energy: -4.753 eV/atom
formation energy (no corrections): 29 meV/atom
space group: R-3m
crystal system: trigonal



A relaxed structure of HoEr2Si2. Source: Alexandria, functional PBE-GGA.

```
HoEr2Si2
1.0
4.290 0.000 0.000
2.145 6.015 0.152
2.145 1.156 9.149
Ho Er Si
2 4 4
Cartesian
4.290 0.893 3.288
4.290 6.278 6.012
2.145 1.785 0.836
4.290 2.875 6.344
6.435 5.386 8.465
4.290 4.296 2.957
6.435 1.981 8.235
2.145 2.537 4.060
2.145 5.191 1.066
6.435 4.634 5.241
```

Computed properties:
size of the total moment: 0.00 μB/cell
calculated total energy: -5.500 eV/atom
formation energy (no corrections): -590 meV/atom
space group: C2/m
polymorph energy (0 for the lowest one): 108 meV per atom
crystal system: monoclinic



A relaxed structure of HoEr2Si2. Source: Alexandria, functional PBE-GGA.

```
HoEr2Si2
1.0
4.174 0.000 0.000
0.000 7.427 0.000
0.000 0.000 7.427
Ho Er Si
2 4 4
Cartesian
2.087 3.714 0.000
2.087 0.000 3.714
0.000 5.019 2.408
0.000 6.121 6.121
0.000 1.306 1.306
0.000 2.408 5.019
2.087 2.844 2.844
2.087 6.557 0.870
2.087 0.870 6.557
2.087 4.584 4.584
```

Computed properties:
size of the total moment: 0.00 μB/cell
calculated total energy: -5.608 eV/atom
formation energy (no corrections): -698 meV/atom
space group: P4/mbm
polymorph energy (0 for the lowest one): 0 meV per atom
crystal system: tetragonal



A relaxed structure of HoErSi3. Source: Alexandria, functional PBE-GGA.

```
HoErSi3
1.0
3.926 0.000 0.000
0.000 4.015 -0.768
0.000 0.288 12.388
Ho Er Si
2 2 6
Cartesian
0.982 0.321 1.676
2.945 3.983 9.944
0.982 3.371 6.747
2.945 0.932 4.874
0.982 1.747 9.134
2.945 2.556 2.486
0.982 2.181 11.403
2.945 2.123 0.218
2.945 1.477 7.723
0.982 2.826 3.897
```

Computed properties:
size of the total moment: 0.00 μB/cell
calculated total energy: -5.740 eV/atom
formation energy (no corrections): -658 meV/atom
space group: Cmcm
crystal system: orthorhombic



What did the third record say?
A relaxed structure of HoEr2Si2. Source: Alexandria, functional PBE-GGA.

```
HoEr2Si2
1.0
4.174 0.000 0.000
0.000 7.427 0.000
0.000 0.000 7.427
Ho Er Si
2 4 4
Cartesian
2.087 3.714 0.000
2.087 0.000 3.714
0.000 5.019 2.408
0.000 6.121 6.121
0.000 1.306 1.306
0.000 2.408 5.019
2.087 2.844 2.844
2.087 6.557 0.870
2.087 0.870 6.557
2.087 4.584 4.584
```

Computed properties:
size of the total moment: 0.00 μB/cell
calculated total energy: -5.608 eV/atom
formation energy (no corrections): -698 meV/atom
space group: P4/mbm
polymorph energy (0 for the lowest one): 0 meV per atom
crystal system: tetragonal